An optimized crystal structure of TbHo4Co. Source: Alexandria via LeMat-Bulk, functional PBE.

Cell: 6.183 3.544 8.497 Å, 77.94 106.27 73.33°
Element x y z (fractional)
Tb (0.000, 0.000, 0.000)
Ho (0.546, 0.124, 0.206)
Ho (0.126, 0.248, 0.379)
Ho (0.874, 0.752, 0.621)
Ho (0.454, 0.876, 0.794)
Co (0.500, 0.500, 0.500)

Calculated values
E_form	-0.040	eV/atom
Fermi-level density of states	8.1	states/eV/cell
volume	27.08	A^3/atom
total magnetization	0.0	μB/cell